Entry 1:
A geometry-optimized AcLa2Ni3 structure. Source: the Alexandria database, functional PBE-GGA.

extended XYZ file:
```
12
Lattice="-5.044 -0.118 0.754 0.988 -5.814 5.703 0.124 7.825 2.054" Properties=species:S:1:pos:R:3 pbc="T T T"
Ni -2.028 -2.966 3.228
Ni 0.902 0.334 6.085
Ni -2.311 1.617 2.049
Ac -1.091 -1.030 1.170
Ac -2.965 -4.902 5.287
Ni -1.620 0.276 6.462
La -0.693 2.274 4.351
La -0.397 -2.207 5.632
Ni 0.211 1.676 1.672
Ni 0.494 -2.907 2.852
La -3.535 4.099 2.879
La -3.239 -0.381 4.161
```

Output
The formation energy is -0.2602 eV/atom. The total DFT energy (no corrections) comes out at -65.74 eV per cell. For the total magnetic moment, the calculation gives 0.00 μB/cell. As for the density of states at the Fermi level: 5.3 states/eV/f.u.

---

Entry 2:
A geometry-optimized RbNa2I2 structure. Source: the Alexandria database, functional PBE-GGA.

extended XYZ file:
```
5
Lattice="6.046 0.000 0.000 0.000 6.046 0.000 3.023 3.023 6.039" Properties=species:S:1:pos:R:3 pbc="T T T"
Na 6.046 6.046 4.202
Rb 0.000 0.000 0.000
Na 3.023 3.023 1.837
I 6.046 3.023 3.019
I 3.023 6.046 3.019
```

Output
The total DFT energy (no corrections) comes out at -11.30 eV per cell. For the total magnetic moment, the calculation gives 0.83 μB/cell. Its energy above the most stable polymorph in this dataset is 0.0 kJ per mole of atoms. As for the density of states at the Fermi level: 1.7 states/eV/f.u. The value obtained for the formation energy without anion corrections is -0.9178 eV per atom.

---

Entry 3:
A geometry-optimized Er2Tm3Pb structure. Source: the Alexandria database, functional PBE-GGA.

extended XYZ file:
```
12
Lattice="6.822 0.000 0.000 0.000 6.156 0.531 -3.411 -0.924 8.337" Properties=species:S:1:pos:R:3 pbc="T T T"
Er 2.590 0.240 2.876
Pb 5.831 4.617 0.399
Er 4.232 3.318 3.141
Tm -0.854 0.153 2.755
Tm 2.557 2.002 5.848
Er 0.821 4.993 5.992
Er -0.821 1.915 5.727
Tm 0.854 3.231 3.021
Pb 0.990 1.539 0.133
Tm 4.265 5.080 6.113
Tm 4.318 1.539 0.133
Tm 2.504 4.617 0.399
```

Output
The formation energy is -0.1103 eV/atom. The total DFT energy (no corrections) comes out at -53.82 eV per cell. For the total magnetic moment, the calculation gives 0.00 μB/cell. Its energy above the most stable polymorph in this dataset is 6.5 kJ per mole of atoms. As for the density of states at the Fermi level: 7.3 states/eV/f.u.

---

Entry 4:
A geometry-optimized SbRhW2 structure. Source: the Alexandria database, functional PBE-GGA.

extended XYZ file:
```
4
Lattice="2.650 -4.299 0.000 2.650 4.299 0.000 0.000 0.000 2.952" Properties=species:S:1:pos:R:3 pbc="T T T"
Sb 2.650 0.000 1.476
W 1.325 2.149 0.000
W 1.325 -2.149 0.000
Rh 0.000 0.000 1.476
```

Output
The total DFT energy (no corrections) comes out at -35.74 eV per cell. For the total magnetic moment, the calculation gives 0.00 μB/cell. As for the density of states at the Fermi level: 3.5 states/eV/f.u. The value obtained for the formation energy without anion corrections is 0.4109 eV per atom.

---

Entry 5:
A geometry-optimized Ni2SbAs structure. Source: the Alexandria database, functional PBE-GGA.

extended XYZ file:
```
8
Lattice="-3.743 1.984 -1.151 0.640 -1.211 -4.171 -5.261 -5.885 -1.409" Properties=species:S:1:pos:R:3 pbc="T T T"
Ni -6.702 -3.658 -5.442
Sb 0.000 0.000 0.000
As -3.086 -3.355 -4.120
Ni -1.627 -1.851 -3.178
As -1.551 0.387 -2.661
Ni -5.068 -4.202 -3.324
Sb -5.278 -1.757 -2.610
Ni -3.331 -0.512 -1.518
```

Output
The total DFT energy (no corrections) comes out at -41.09 eV per cell. For the total magnetic moment, the calculation gives 0.00 μB/cell. As for the density of states at the Fermi level: 2.2 states/eV/f.u. The value obtained for the formation energy without anion corrections is -0.0522 eV per atom.

---

Entry 6:
A geometry-optimized PrAl4Ni2 structure. Source: the Alexandria database, functional PBE-GGA.

extended XYZ file:
```
14
Lattice="4.024 0.000 0.000 0.000 7.622 0.000 0.000 0.000 7.622" Properties=species:S:1:pos:R:3 pbc="T T T"
Al 2.012 3.172 6.362
Ni 2.012 5.502 5.502
Al 0.000 6.983 5.071
Ni 0.000 1.692 5.930
Al 2.012 4.449 1.260
Al 0.000 5.071 6.983
Al 2.012 6.362 3.172
Pr 0.000 3.811 3.811
Ni 0.000 5.930 1.692
Ni 2.012 2.119 2.119
Pr 2.012 0.000 0.000
Al 0.000 2.551 0.638
Al 2.012 1.260 4.449
Al 0.000 0.638 2.551
```

Output
The formation energy is -0.5035 eV/atom. The total DFT energy (no corrections) comes out at -69.67 eV per cell. For the total magnetic moment, the calculation gives 0.00 μB/cell. Its energy above the most stable polymorph in this dataset is 8.2 kJ per mole of atoms. As for the density of states at the Fermi level: 3.8 states/eV/f.u.

---

Q: The highest total DFT energy (no corrections) belongs to which entry?
A: RbNa2I2

---

Q: Among the records above, which one has the lowest total DFT energy (no corrections)?
A: PrAl4Ni2